(1)
This record from the Alexandria database describes an optimized crystal structure of CoW. The functional is GGA-PBE.

The structure in extended XYZ format:
```
4
Lattice="-0.6084 -2.3502 -1.0483 4.1200 -1.3227 -2.7608 1.6231 -1.9084 3.3366" Properties=species:S:1:pos:R:3 pbc="T T T"
Co 1.2782 -2.8767 -0.9628
Co 3.8565 -2.7046 0.4903
W 3.4950 -2.9507 -2.0835
W 1.6397 -2.6307 1.6109
```

Properties
Formation energy (kcal/mol of atoms): 8.291
Calculated volume (Å³ per cell): 55
E_tot (eV per atom): -9.67

(2)
This record from the Alexandria database describes an optimized crystal structure of TaFe2Tc. The functional is GGA-PBE.

The structure in extended XYZ format:
```
4
Lattice="0.0000 3.0257 3.0257 3.0257 0.0000 3.0257 3.0257 3.0257 0.0000" Properties=species:S:1:pos:R:3 pbc="T T T"
Fe 1.5129 1.5129 1.5129
Fe 4.5386 4.5386 4.5386
Tc 0.0000 0.0000 0.0000
Ta 3.0257 3.0257 3.0257
```

Properties
Polymorph energy (0 for the lowest one) (meV per atom): 72.1
Formation energy (kcal/mol of atoms): -0.146
Calculated volume (Å³ per cell): 55
E_tot (eV per atom): -9.79

(3)
This record from the Alexandria database describes an optimized crystal structure of TbNd2Cu. The functional is GGA-PBE.

The structure in extended XYZ format:
```
4
Lattice="-2.6543 0.7497 2.4705 -2.8405 -2.3358 0.4320 3.3072 -5.4790 7.9906" Properties=species:S:1:pos:R:3 pbc="T T T"
Tb -1.0871 -3.5390 5.4556
Nd 2.2404 -4.4513 6.5326
Nd -0.7666 -1.5546 2.4230
Cu -0.3607 -6.5319 9.9192
```

Properties
Polymorph energy (0 for the lowest one) (meV per atom): 110.2
Formation energy (kcal/mol of atoms): 1.597
Calculated volume (Å³ per cell): 119
E_tot (eV per atom): -4.50

(4)
This record from the Alexandria database describes an optimized crystal structure of ReHgAs2. The functional is GGA-PBE.

The structure in extended XYZ format:
```
4
Lattice="-0.5320 -3.0678 -0.9005 -1.0172 -1.1664 4.5746 -4.4486 0.9879 -0.7373" Properties=species:S:1:pos:R:3 pbc="T T T"
Re -2.7329 -0.0893 1.9187
As 0.0000 0.0000 0.0000
As -0.7746 -2.1171 1.8371
Hg -2.4903 -1.0400 -0.8189
```

Properties
Formation energy (kcal/mol of atoms): 21.209
Calculated volume (Å³ per cell): 72
E_tot (eV per atom): -4.59

(5)
This record from the Alexandria database describes an optimized crystal structure of Ti15Zn2In2. The functional is GGA-PBE.

The structure in extended XYZ format:
```
19
Lattice="-6.9359 0.7901 -1.3810 -2.8032 -0.6615 6.5071 -1.0112 6.8142 1.7838" Properties=species:S:1:pos:R:3 pbc="T T T"
Ti -3.4679 0.3950 -0.6905
Ti -0.5056 3.4071 0.8919
Ti -1.4016 -0.3308 3.2535
Ti -1.5467 4.5802 3.1953
Ti -4.0382 -0.2277 4.1498
Ti -5.1653 2.5903 -0.4353
Ti -5.7009 0.3563 0.9762
Ti -2.7817 5.0140 0.8380
Ti -2.2677 1.5725 5.0955
Ti -7.2391 2.9710 1.9558
Ti -4.5024 5.7537 3.4177
Ti -5.3302 2.3005 5.5994
Ti -3.5112 3.9717 4.9540
Ti -6.2479 1.1891 3.4921
Ti -5.4201 4.6422 1.3103
Zn -9.7732 6.3117 6.2817
Zn -0.9771 0.6310 0.6280
In -7.4063 4.7831 4.7604
In -3.3440 2.1596 2.1494
```

Properties
Formation energy (kcal/mol of atoms): 4.992
Calculated volume (Å³ per cell): 342
E_tot (eV per atom): -6.44

(6)
This record from the Alexandria database describes an optimized crystal structure of Sc5Ga2Tc. The functional is GGA-PBE.

The structure in extended XYZ format:
```
16
Lattice="-2.8520 2.6996 -2.3226 -4.2537 -4.2182 0.3203 -3.7790 4.5661 9.9476" Properties=species:S:1:pos:R:3 pbc="T T T"
Sc -3.2206 0.4415 -0.0134
Sc -7.6640 2.6060 7.9587
Sc -6.4448 -0.3418 3.0354
Sc -4.4399 3.3892 4.9100
Sc -6.5058 -0.4360 7.4819
Sc -1.5269 0.7839 2.7860
Sc -4.5786 1.9144 7.8474
Sc -3.4541 -1.5665 2.4206
Sc -4.0163 0.1740 5.1340
Sc 0.0000 0.0000 0.0000
Ga -4.2661 1.5139 2.5169
Ga -6.6185 1.5336 5.4284
Ga -5.3119 4.6337 7.4272
Ga -5.5728 -1.5862 0.5181
Tc -1.8895 2.2831 4.9738
Tc -2.1268 -2.1091 0.1602
```

Properties
Formation energy (kcal/mol of atoms): -9.810
Calculated volume (Å³ per cell): 317
E_tot (eV per atom): -6.44

(7)
This record from the Alexandria database describes an optimized crystal structure of UPd3Pt. The functional is GGA-PBE.

The structure in extended XYZ format:
```
5
Lattice="-4.9321 1.9728 -1.1752 -2.9513 -2.4599 -3.8446 -1.4229 -0.4652 5.2035" Properties=species:S:1:pos:R:3 pbc="T T T"
U -2.4660 0.9864 -0.5876
Pd -0.7114 -0.2326 2.6018
Pd -2.1871 -1.4625 0.6795
Pd -1.4757 -1.2299 -1.9223
Pt 0.0000 0.0000 0.0000
```

Properties
Polymorph energy (0 for the lowest one) (meV per atom): 163.6
Formation energy (kcal/mol of atoms): 0.926
Calculated volume (Å³ per cell): 116
E_tot (eV per atom): -6.54

(8)
This record from the Alexandria database describes an optimized crystal structure of Rb2InTcO6. The functional is GGA-PBE.

The structure in extended XYZ format:
```
10
Lattice="-4.4035 -3.3264 -0.3551 3.1789 -4.5436 3.1420 -3.4789 4.2617 3.2182" Properties=species:S:1:pos:R:3 pbc="T T T"
Rb -1.9748 0.7863 3.1351
Rb -2.7286 -4.3947 2.8699
In -2.2017 -1.6632 -0.1776
Tc 0.0000 0.0000 0.0000
O -4.0041 -2.0766 1.0482
O -6.0352 0.4114 2.9270
O -4.1793 -2.2412 4.7613
O 1.3317 -4.0197 3.0781
O -0.5242 -1.3671 1.2438
O -0.6993 -1.5317 4.9569
```

Properties
Raw formation energy (eV/atom): -1.3016
Calculated volume (Å³ per cell): 195
E_tot (eV per atom): -5.78

(9)
This record from the Alexandria database describes an optimized crystal structure of Os2C. The functional is GGA-PBE.

The structure in extended XYZ format:
```
3
Lattice="-1.9658 -1.3004 -1.8453 2.2405 -1.4227 -1.3843 -0.3730 -3.0991 2.5813" Properties=species:S:1:pos:R:3 pbc="T T T"
C 0.0000 0.0000 0.0000
Os -0.1865 -1.5496 1.2906
Os 0.1374 -1.3615 -1.6148
```

Properties
Polymorph energy (0 for the lowest one) (meV per atom): 473.8
Formation energy (kcal/mol of atoms): 22.556
Calculated volume (Å³ per cell): 36
E_tot (eV per atom): -9.58

(10)
This record from the Alexandria database describes an optimized crystal structure of Pm2TmCo. The functional is GGA-PBE.

The structure in extended XYZ format:
```
16
Lattice="6.2085 0.0000 0.0000 0.0000 7.0227 0.0000 0.0000 0.0000 9.7723" Properties=species:S:1:pos:R:3 pbc="T T T"
Pm 1.0920 4.7555 0.6807
Pm 2.0122 1.2442 4.2054
Pm 5.1165 2.2672 5.5669
Pm 4.1962 5.7785 9.0916
Pm 5.1165 2.2672 9.0916
Pm 4.1962 5.7785 5.5669
Pm 1.0920 4.7555 4.2054
Pm 2.0122 1.2442 0.6807
Tm 4.0638 3.8184 2.4431
Tm 5.2489 0.3070 2.4431
Tm 2.1447 3.2043 7.3293
Tm 0.9596 6.7157 7.3293
Co 0.2937 2.6925 2.4431
Co 2.8105 6.2039 2.4431
Co 5.9147 4.3302 7.3293
Co 3.3980 0.8188 7.3293
```

Properties
Polymorph energy (0 for the lowest one) (meV per atom): 0.0
Formation energy (kcal/mol of atoms): -2.573
Calculated volume (Å³ per cell): 426
E_tot (eV per atom): -5.38

(11)
This record from the Alexandria database describes an optimized crystal structure of Li6ErAg2. The functional is GGA-PBE.

The structure in extended XYZ format:
```
9
Lattice="3.9724 0.0000 0.0000 0.0000 3.9724 0.0000 0.0000 0.0000 11.2917" Properties=species:S:1:pos:R:3 pbc="T T T"
Li 0.0000 1.9862 3.2360
Li 1.9862 0.0000 3.2360
Li 0.0000 1.9862 8.0557
Li 1.9862 0.0000 8.0557
Li 1.9862 1.9862 5.6458
Li 0.0000 0.0000 5.6458
Er 0.0000 0.0000 0.0000
Ag 1.9862 1.9862 1.3952
Ag 1.9862 1.9862 9.8965
```

Properties
Formation energy (kcal/mol of atoms): -2.261
Calculated volume (Å³ per cell): 178
E_tot (eV per atom): -2.51

(12)
This record from the Alexandria database describes an optimized crystal structure of P3C. The functional is GGA-PBE.

The structure in extended XYZ format:
```
4
Lattice="-1.7289 -1.1285 -1.6822 0.4160 -2.3623 1.1572 -5.3716 1.3235 4.6329" Properties=species:S:1:pos:R:3 pbc="T T T"
P -1.5122 -1.5346 0.4756
P -2.6858 0.6617 2.3164
P -5.1723 -0.6328 3.6323
C 0.0000 0.0000 0.0000
```

Properties
Polymorph energy (0 for the lowest one) (meV per atom): 1000.3
Formation energy (kcal/mol of atoms): 32.484
Calculated volume (Å³ per cell): 51
E_tot (eV per atom): -4.95